DFT (PBE-GGA) results for a geometry-optimized NdEr2Th3 structure.

Lattice parameters (Å, degrees): 17.4969 7.1228 6.2017 90.00 90.04 90.00
Closest atoms and distances in Å follow each position.
Space group C2/c (No. 15)
Asymmetric unit:
Nd (0.0000, 0.1306, 0.2500) [4 per cell]  6 Th 3.49-3.64, 4 Er 3.61-3.64, 2 Nd 3.62
Er (0.1694, 0.1266, 0.5832) [8 per cell]  3 Er 3.48-3.59, 7 Th 3.51-3.62, 2 Nd 3.61-3.64
Th (0.0000, 0.3798, 0.7500) [4 per cell]  4 Nd 3.49-3.64, 6 Th 3.54-3.57, 2 Er 3.62
Th (0.1667, 0.3799, 0.0810) [8 per cell]  6 Er 3.51-3.61, 5 Th 3.54-3.60, 1 Nd 3.57

Output
* total DFT energy (no corrections): -5.98 eV/atom
* DOS at the Fermi energy: 36.3 states/eV per cell
* volume: 32.204 Å³ per atom